Record 1
# VCuTc2Mo, relaxed, DFT PBE
data_VCuTc2Mo
_cell_length_a 4.384
_cell_length_b 4.384
_cell_length_c 4.414
_cell_angle_alpha 90.00
_cell_angle_beta 90.00
_cell_angle_gamma 90.00
_symmetry_space_group_name_H-M 'P 1'
_symmetry_Int_Tables_number 1
loop_
_symmetry_equiv_pos_as_xyz
'x,y,z'
loop_
_atom_site_label
_atom_site_type_symbol
_atom_site_fract_x
_atom_site_fract_y
_atom_site_fract_z
V1 V 0.000 0.000 0.000
Cu1 Cu 0.000 0.000 0.500
Tc1 Tc 0.000 0.500 0.000
Tc2 Tc 0.500 0.000 0.000
Mo1 Mo 0.500 0.500 0.500
# Energy relative to the elements, eV/atom: 1.355
# Calculated total energy, Ry per atom: -0.5586

---

Record 2
# CuTcMo2W, relaxed, DFT PBE
data_CuTcMo2W
_cell_length_a 4.439
_cell_length_b 4.439
_cell_length_c 4.402
_cell_angle_alpha 90.00
_cell_angle_beta 90.00
_cell_angle_gamma 90.00
_symmetry_space_group_name_H-M 'P 1'
_symmetry_Int_Tables_number 1
loop_
_symmetry_equiv_pos_as_xyz
'x,y,z'
loop_
_atom_site_label
_atom_site_type_symbol
_atom_site_fract_x
_atom_site_fract_y
_atom_site_fract_z
Cu1 Cu 0.000 0.000 0.000
Tc1 Tc 0.000 0.000 0.500
Mo1 Mo 0.000 0.500 0.000
Mo2 Mo 0.500 0.000 0.000
W1 W 0.500 0.500 0.500
# Energy relative to the elements, eV/atom: 1.714
# Calculated total energy, Ry per atom: -0.5955

---

Record 3
# CuTeMo, relaxed, DFT PBE
data_CuTeMo
_cell_length_a 5.010
_cell_length_b 5.010
_cell_length_c 5.010
_cell_angle_alpha 140.53
_cell_angle_beta 140.53
_cell_angle_gamma 57.05
_symmetry_space_group_name_H-M 'P 1'
_symmetry_Int_Tables_number 1
loop_
_symmetry_equiv_pos_as_xyz
'x,y,z'
loop_
_atom_site_label
_atom_site_type_symbol
_atom_site_fract_x
_atom_site_fract_y
_atom_site_fract_z
Cu1 Cu 0.000 0.000 0.000
Te1 Te 0.330 0.330 0.000
Mo1 Mo 0.664 0.664 0.000
# Energy relative to the elements, uncorrected, meV/atom: 324
# Excess energy over the best structure of this formula in the dataset, eV/f.u.: 0.00
# Calculated total energy, Ry per atom: -0.4189

---

Record 4
# Cu2TeMo, relaxed, DFT PBE
data_Cu2TeMo
_cell_length_a 3.504
_cell_length_b 3.504
_cell_length_c 5.316
_cell_angle_alpha 90.00
_cell_angle_beta 90.00
_cell_angle_gamma 90.00
_symmetry_space_group_name_H-M 'P 1'
_symmetry_Int_Tables_number 1
loop_
_symmetry_equiv_pos_as_xyz
'x,y,z'
loop_
_atom_site_label
_atom_site_type_symbol
_atom_site_fract_x
_atom_site_fract_y
_atom_site_fract_z
Cu1 Cu 0.000 0.000 0.230
Cu2 Cu 0.000 0.000 0.770
Te1 Te 0.500 0.500 0.500
Mo1 Mo 0.500 0.500 0.000
# Energy relative to the elements, uncorrected, meV/atom: 439
# Calculated total energy, Ry per atom: -0.3750

---

Record 5
# CuTeMo, relaxed, DFT PBE
data_CuTeMo
_cell_length_a 4.409
_cell_length_b 4.409
_cell_length_c 4.409
_cell_angle_alpha 60.00
_cell_angle_beta 60.00
_cell_angle_gamma 60.00
_symmetry_space_group_name_H-M 'P 1'
_symmetry_Int_Tables_number 1
loop_
_symmetry_equiv_pos_as_xyz
'x,y,z'
loop_
_atom_site_label
_atom_site_type_symbol
_atom_site_fract_x
_atom_site_fract_y
_atom_site_fract_z
Cu1 Cu 0.000 0.000 0.000
Te1 Te 0.500 0.500 0.500
Mo1 Mo 0.250 0.250 0.250
# Energy relative to the elements, uncorrected, meV/atom: 547
# Excess energy over the best structure of this formula in the dataset, eV/f.u.: 0.67
# Calculated total energy, Ry per atom: -0.4025

---

Record 6
# Cu2TeMo, relaxed, DFT PBE
data_Cu2TeMo
_cell_length_a 5.357
_cell_length_b 5.357
_cell_length_c 5.357
_cell_angle_alpha 145.59
_cell_angle_beta 131.66
_cell_angle_gamma 60.68
_symmetry_space_group_name_H-M 'P 1'
_symmetry_Int_Tables_number 1
loop_
_symmetry_equiv_pos_as_xyz
'x,y,z'
loop_
_atom_site_label
_atom_site_type_symbol
_atom_site_fract_x
_atom_site_fract_y
_atom_site_fract_z
Cu1 Cu 0.248 0.248 0.000
Cu2 Cu 0.752 0.752 0.000
Te1 Te 0.000 0.500 0.500
Mo1 Mo 0.500 0.000 0.500
# Energy relative to the elements, uncorrected, meV/atom: 463
# Calculated total energy, Ry per atom: -0.3732

---

Record 7
# Cu2TeMo, relaxed, DFT PBE
data_Cu2TeMo
_cell_length_a 5.146
_cell_length_b 5.146
_cell_length_c 5.146
_cell_angle_alpha 135.93
_cell_angle_beta 135.93
_cell_angle_gamma 64.09
_symmetry_space_group_name_H-M 'P 1'
_symmetry_Int_Tables_number 1
loop_
_symmetry_equiv_pos_as_xyz
'x,y,z'
loop_
_atom_site_label
_atom_site_type_symbol
_atom_site_fract_x
_atom_site_fract_y
_atom_site_fract_z
Cu1 Cu 0.250 0.750 0.500
Cu2 Cu 0.750 0.250 0.500
Te1 Te 0.000 0.000 0.000
Mo1 Mo 0.500 0.500 0.000
# Energy relative to the elements, uncorrected, meV/atom: 547
# Calculated total energy, Ry per atom: -0.3671

---

Record 8
# Cu2TeMo, relaxed, DFT PBE
data_Cu2TeMo
_cell_length_a 4.925
_cell_length_b 4.925
_cell_length_c 2.951
_cell_angle_alpha 90.19
_cell_angle_beta 90.19
_cell_angle_gamma 114.77
_symmetry_space_group_name_H-M 'P 1'
_symmetry_Int_Tables_number 1
loop_
_symmetry_equiv_pos_as_xyz
'x,y,z'
loop_
_atom_site_label
_atom_site_type_symbol
_atom_site_fract_x
_atom_site_fract_y
_atom_site_fract_z
Cu1 Cu 0.000 0.500 0.000
Cu2 Cu 0.500 0.000 0.000
Te1 Te 0.000 0.000 0.500
Mo1 Mo 0.500 0.500 0.500
# Energy relative to the elements, uncorrected, meV/atom: 507
# Calculated total energy, Ry per atom: -0.3700

---

Record 9
# CuTeMo, relaxed, DFT PBE
data_CuTeMo
_cell_length_a 3.237
_cell_length_b 3.237
_cell_length_c 6.230
_cell_angle_alpha 90.00
_cell_angle_beta 90.00
_cell_angle_gamma 120.00
_symmetry_space_group_name_H-M 'P 1'
_symmetry_Int_Tables_number 1
loop_
_symmetry_equiv_pos_as_xyz
'x,y,z'
loop_
_atom_site_label
_atom_site_type_symbol
_atom_site_fract_x
_atom_site_fract_y
_atom_site_fract_z
Cu1 Cu 0.000 0.000 0.000
Te1 Te 0.333 0.667 0.625
Mo1 Mo 0.667 0.333 0.311
# Energy relative to the elements, uncorrected, meV/atom: 512
# Excess energy over the best structure of this formula in the dataset, eV/f.u.: 0.57
# Calculated total energy, Ry per atom: -0.4050

---

Record 10
# Cu2TeMo, relaxed, DFT PBE
data_Cu2TeMo
_cell_length_a 2.908
_cell_length_b 4.326
_cell_length_c 5.210
_cell_angle_alpha 90.00
_cell_angle_beta 90.22
_cell_angle_gamma 90.00
_symmetry_space_group_name_H-M 'P 1'
_symmetry_Int_Tables_number 1
loop_
_symmetry_equiv_pos_as_xyz
'x,y,z'
loop_
_atom_site_label
_atom_site_type_symbol
_atom_site_fract_x
_atom_site_fract_y
_atom_site_fract_z
Cu1 Cu 0.000 0.000 0.000
Cu2 Cu 0.045 0.500 0.210
Te1 Te 0.024 0.500 0.693
Mo1 Mo 0.526 0.000 0.456
# Energy relative to the elements, uncorrected, meV/atom: 457
# Calculated total energy, Ry per atom: -0.3737

---

Record 11
# CuTeMo, relaxed, DFT PBE
data_CuTeMo
_cell_length_a 4.658
_cell_length_b 4.658
_cell_length_c 2.842
_cell_angle_alpha 90.00
_cell_angle_beta 90.00
_cell_angle_gamma 120.00
_symmetry_space_group_name_H-M 'P 1'
_symmetry_Int_Tables_number 1
loop_
_symmetry_equiv_pos_as_xyz
'x,y,z'
loop_
_atom_site_label
_atom_site_type_symbol
_atom_site_fract_x
_atom_site_fract_y
_atom_site_fract_z
Cu1 Cu 0.000 0.000 0.000
Te1 Te 0.667 0.333 0.629
Mo1 Mo 0.333 0.667 0.525
# Energy relative to the elements, uncorrected, meV/atom: 614
# Excess energy over the best structure of this formula in the dataset, eV/f.u.: 0.87
# Calculated total energy, Ry per atom: -0.3975

---

Record 12
# CuTeMo4, relaxed, DFT PBE
data_CuTeMo4
_cell_length_a 5.292
_cell_length_b 5.292
_cell_length_c 5.292
_cell_angle_alpha 60.00
_cell_angle_beta 60.00
_cell_angle_gamma 60.00
_symmetry_space_group_name_H-M 'P 1'
_symmetry_Int_Tables_number 1
loop_
_symmetry_equiv_pos_as_xyz
'x,y,z'
loop_
_atom_site_label
_atom_site_type_symbol
_atom_site_fract_x
_atom_site_fract_y
_atom_site_fract_z
Cu1 Cu 0.000 0.000 0.000
Te1 Te 0.250 0.250 0.250
Mo1 Mo 0.118 0.627 0.627
Mo2 Mo 0.627 0.118 0.627
Mo3 Mo 0.627 0.627 0.118
Mo4 Mo 0.627 0.627 0.627
# Energy relative to the elements, uncorrected, meV/atom: 662
# Calculated total energy, Ry per atom: -0.5707